# 1
{
  "formula": "CaTb2Pb",
  "functional": "PBE-GGA",
  "state": "relaxed",
  "crystal_system": "trigonal",
  "lattice_angstrom": [[3.5898, 0.0000, 0.0000], [1.7949, 3.1089, 0.0000], [1.7949, 1.0363, 12.3777]],
  "species": ["Ca", "Pb", "Tb", "Tb"],
  "frac_coords": [[0.5000, 0.5000, 0.5000], [0.0000, 0.0000, 0.0000], [0.0851, 0.0851, 0.7448], [0.9149, 0.9149, 0.2552]]
}

***

# 2
{
  "formula": "CaTbZnPb",
  "functional": "PBE-GGA",
  "state": "relaxed",
  "crystal_system": "cubic",
  "lattice_angstrom": [[-1.3621, 3.1759, -4.0519], [-0.7750, -2.0564, -4.8508], [-4.9149, -0.2406, -2.0360]],
  "species": ["Tb", "Pb", "Ca", "Zn"],
  "frac_coords": [[0.7500, 0.7500, 0.7500], [0.5000, 0.5000, 0.5000], [0.2500, 0.2500, 0.2500], [0.0000, 0.0000, 0.0000]]
}

***

# 3
{
  "formula": "Ca4TcPb",
  "functional": "PBE-GGA",
  "state": "relaxed",
  "crystal_system": "cubic",
  "lattice_angstrom": [[0.0000, 4.5290, 4.5290], [4.5290, 0.0000, 4.5290], [4.5290, 4.5290, 0.0000]],
  "species": ["Ca", "Ca", "Ca", "Ca", "Tc", "Pb"],
  "frac_coords": [[0.3739, 0.3739, 0.8782], [0.3739, 0.3739, 0.3739], [0.8782, 0.3739, 0.3739], [0.3739, 0.8782, 0.3739], [0.0000, 0.0000, 0.0000], [0.7500, 0.7500, 0.7500]]
}

***

# 4
{
  "formula": "Ca3TcPb",
  "functional": "PBE-GGA",
  "state": "relaxed",
  "crystal_system": "cubic",
  "lattice_angstrom": [[5.4398, 0.0000, 0.0000], [0.0000, 5.4398, 0.0000], [0.0000, 0.0000, 5.4398]],
  "species": ["Ca", "Ca", "Ca", "Pb", "Tc"],
  "frac_coords": [[0.5000, 0.0000, 0.0000], [0.0000, 0.0000, 0.5000], [0.0000, 0.5000, 0.0000], [0.5000, 0.5000, 0.5000], [0.0000, 0.0000, 0.0000]]
}

***

# 5
{
  "formula": "Ca2TcPb",
  "functional": "PBE-GGA",
  "state": "relaxed",
  "crystal_system": "tetragonal",
  "lattice_angstrom": [[-2.2790, -3.5937, -3.6967], [0.8235, -5.2677, 1.8296], [-2.1139, 4.5543, 2.5619]],
  "species": ["Ca", "Ca", "Pb", "Tc"],
  "frac_coords": [[0.4998, 0.4998, 0.0000], [0.0002, 0.0002, 0.0000], [0.7500, 0.2500, 0.5000], [0.2500, 0.7500, 0.5000]]
}

***

# 6
{
  "formula": "Ca2TcPb",
  "functional": "PBE-GGA",
  "state": "relaxed",
  "crystal_system": "tetragonal",
  "lattice_angstrom": [[-4.7347, -1.7457, -2.1515], [1.1483, -1.3266, -5.1977], [2.5052, -1.5638, 4.6231]],
  "species": ["Tc", "Ca", "Ca", "Pb"],
  "frac_coords": [[0.7500, 0.2500, 0.5000], [0.2500, 0.7500, 0.5000], [0.0000, 0.0000, 0.0000], [0.5000, 0.5000, 0.0000]]
}

***

# 7
{
  "formula": "Ca2TcPb",
  "functional": "PBE-GGA",
  "state": "relaxed",
  "crystal_system": "orthorhombic",
  "lattice_angstrom": [[5.5861, -0.0064, -0.0087], [-1.7306, 5.3112, -0.0087], [0.0066, 0.0090, 3.3754]],
  "species": ["Ca", "Ca", "Pb", "Tc"],
  "frac_coords": [[0.0000, 0.0000, 0.0000], [0.5000, 0.5000, 0.0000], [0.5000, 0.0000, 0.5000], [0.0000, 0.5000, 0.5000]]
}

***

# 8
{
  "formula": "Ca2TcPb",
  "functional": "PBE-GGA",
  "state": "relaxed",
  "crystal_system": "tetragonal",
  "lattice_angstrom": [[3.6309, 0.0000, 0.0000], [0.0000, 3.6309, 0.0000], [0.0000, 0.0000, 8.3074]],
  "species": ["Ca", "Ca", "Pb", "Tc"],
  "frac_coords": [[0.5000, 0.5000, 0.3103], [0.0000, 0.0000, 0.9314], [0.0000, 0.0000, 0.5543], [0.5000, 0.5000, 0.7040]]
}

***

| no. | raw total energy (eV/atom) | ΔH_f (0 K) (eV per atom) |
| --- | --- | --- |
| 1 | -3.618 | 0.124 |
| 2 | -3.271 | -0.368 |
| 3 | -2.914 | 0.766 |
| 4 | -3.585 | 0.431 |
| 5 | -4.225 | 0.295 |
| 6 | -4.239 | 0.280 |
| 7 | -4.193 | 0.326 |
| 8 | -4.329 | 0.191 |